Record 1
The following is a DFT calculation (PBE) of an optimized crystal structure of Sr2TaAg.

Geometry as extended XYZ:
```
4
Lattice="3.5166 0.0000 0.0000 0.0000 3.5166 0.0000 0.0000 0.0000 9.7277" Properties=species:S:1:pos:R:3 pbc="T T T"
Sr 0.0000 0.0000 0.0000
Sr 1.7583 1.7583 3.6715
Ta 0.0000 0.0000 6.0418
Ag 1.7583 1.7583 7.4333
```

Values from the calculation:
The relative energy among the computed polymorphs is 0.00 eV/f.u. The total magnetic moment comes out at 0.00 μB per formula unit. The final energy comes out at -0.292 Ry/atom. As for the formation energy: 51.95 kJ/mol of atoms.

Record 2
The following is a DFT calculation (PBE) of an optimized crystal structure of Cd2AgAs.

Geometry as extended XYZ:
```
4
Lattice="3.1229 0.0000 0.0000 0.0000 4.9943 0.0000 -0.0055 0.0000 5.2638" Properties=species:S:1:pos:R:3 pbc="T T T"
Cd 0.0000 0.0000 0.0000
Cd 0.0089 2.4971 3.4641
Ag 1.5659 0.0000 2.6698
As 1.5613 2.4971 0.9587
```

Values from the calculation:
The total magnetic moment comes out at 0.00 μB per formula unit. The final energy comes out at -0.165 Ry/atom. As for the formation energy: 8.02 kJ/mol of atoms.

Record 3
The following is a DFT calculation (PBE) of an optimized crystal structure of NdHo2Cd.

Geometry as extended XYZ:
```
4
Lattice="-1.8954 2.7573 5.7227 1.8954 -2.7573 5.7227 1.8954 2.7573 -5.7227" Properties=species:S:1:pos:R:3 pbc="T T T"
Nd 0.0000 0.0000 0.0000
Ho 1.8954 0.0000 3.1565
Ho 0.0000 2.7573 2.5662
Cd 0.0000 0.0000 5.7227
```

Values from the calculation:
The relative energy among the computed polymorphs is 0.02 eV/f.u. The total magnetic moment comes out at 0.00 μB per formula unit. The final energy comes out at -0.283 Ry/atom. As for the formation energy: -14.09 kJ/mol of atoms.

Record 4
The following is a DFT calculation (PBE) of an optimized crystal structure of MnNi2Pt.

Geometry as extended XYZ:
```
8
Lattice="-3.2320 3.2320 2.5132 3.2320 -3.2320 2.5132 3.2320 3.2320 -2.5132" Properties=species:S:1:pos:R:3 pbc="T T T"
Mn 0.0000 0.0000 0.0000
Mn 0.0000 3.2320 1.2566
Ni 4.8480 1.4128 -0.6283
Ni 1.4128 1.6160 0.6283
Ni -1.6160 1.8192 1.8849
Ni 1.8192 1.6160 3.1415
Pt 3.2320 0.0000 1.2566
Pt 0.0000 0.0000 2.5132
```

Values from the calculation:
The total magnetic moment comes out at 0.00 μB per formula unit. The final energy comes out at -0.457 Ry/atom. As for the formation energy: 45.85 kJ/mol of atoms.

Record 5
The following is a DFT calculation (PBE) of an optimized crystal structure of YCo2Au.

Geometry as extended XYZ:
```
4
Lattice="3.1864 0.0000 0.0000 0.0000 3.1864 0.0000 0.0000 0.0000 6.6593" Properties=species:S:1:pos:R:3 pbc="T T T"
Y 0.0000 0.0000 0.0000
Co 0.0000 0.0000 3.7597
Co 1.5932 1.5932 4.7056
Au 1.5932 1.5932 2.0573
```

Values from the calculation:
The relative energy among the computed polymorphs is 0.56 eV/f.u. The total magnetic moment comes out at 2.89 μB per formula unit. The final energy comes out at -0.445 Ry/atom. As for the formation energy: -6.49 kJ/mol of atoms.

Record 6
The following is a DFT calculation (PBE) of an optimized crystal structure of Th2TaCo7Si2.

Geometry as extended XYZ:
```
12
Lattice="2.6904 -2.6849 0.0000 2.6904 2.6849 0.0000 -1.3155 0.0000 12.5714" Properties=species:S:1:pos:R:3 pbc="T T T"
Th -0.0029 0.0000 4.4311
Th 4.0682 0.0000 8.1403
Ta 0.0000 0.0000 0.0000
Co 1.3452 1.3396 1.7194
Co 1.4202 0.0000 7.3107
Co 2.7200 1.3396 10.8520
Co 2.6904 0.0000 0.0000
Co 1.3452 -1.3396 1.7194
Co 2.6451 0.0000 5.2607
Co 2.7200 -1.3396 10.8520
Si 1.3711 0.0000 9.6209
Si 2.6942 0.0000 2.9505
```

Values from the calculation:
The total magnetic moment comes out at 1.28 μB per formula unit. The final energy comes out at -0.566 Ry/atom.

Record 7
The following is a DFT calculation (PBE) of an optimized crystal structure of Y3AlN.

Geometry as extended XYZ:
```
10
Lattice="5.5872 -2.4811 0.0000 5.5872 2.4811 0.0000 -3.2798 0.0000 7.8970" Properties=species:S:1:pos:R:3 pbc="T T T"
Y 0.4537 0.0000 1.6006
Y -0.4674 0.0000 5.1465
Y 3.8011 0.0000 0.6213
Y 4.0935 0.0000 7.2756
Y 8.3620 0.0000 2.7505
Y 7.4409 0.0000 6.2963
Al 2.6740 0.0000 4.4441
Al 5.2206 0.0000 3.4529
N -1.6062 0.0000 7.3454
N 9.5008 0.0000 0.5516
```

Values from the calculation:
The total magnetic moment comes out at 0.00 μB per formula unit. The final energy comes out at -0.521 Ry/atom.

Record 8
The following is a DFT calculation (PBE) of an optimized crystal structure of AsBrN.

Geometry as extended XYZ:
```
3
Lattice="2.8557 0.0000 0.0000 -0.0177 3.8290 0.0000 -0.0036 -0.1691 6.1101" Properties=species:S:1:pos:R:3 pbc="T T T"
As 0.0000 0.0000 0.0000
Br -0.0039 0.5662 2.9276
N 1.4061 2.5478 6.0687
```

Values from the calculation:
The relative energy among the computed polymorphs is 1.36 eV/f.u. The total magnetic moment comes out at 0.00 μB per formula unit. The final energy comes out at -0.327 Ry/atom.